1.
The following is a DFT calculation (PBE) of a geometry-optimized Na2Cu3Sn5 structure.

Computed properties:
Crystal system ... orthorhombic
Mass density ... 6.28 g cm⁻³
M_tot ... 0.000 μB per formula unit
Energy of formation ... -74 meV/atom
Fermi-level density of states ... 0.24 states/eV per atom

Unit cell a=4.484 b=7.347 c=13.519 alpha=90.00 beta=99.55 gamma=90.00
Fractional positions:
Na 0.476 0.766 0.952
Na 0.172 0.716 0.345
Na 0.828 0.216 0.655
Na 0.524 0.266 0.048
Cu 0.777 0.711 0.555
Cu 0.608 0.517 0.216
Cu 0.048 0.984 0.095
Cu 0.223 0.211 0.445
Cu 0.952 0.484 0.905
Cu 0.392 0.017 0.784
Sn 0.406 0.385 0.812
Sn 0.292 0.500 0.584
Sn 0.708 0.000 0.416
Sn 0.119 0.263 0.237
Sn 0.295 0.922 0.590
Sn 0.950 0.102 0.901
Sn 0.705 0.422 0.410
Sn 0.881 0.763 0.763
Sn 0.050 0.602 0.099
Sn 0.594 0.885 0.188

=====

2.
The following is a DFT calculation (PBE) of a geometry-optimized Pm6Tm8Tl structure.

Computed properties:
Crystal system ... trigonal
Mass density ... 8.08 g cm⁻³
M_tot ... 0.000 μB per formula unit
Energy of formation ... 212 meV/atom
Fermi-level density of states ... 1.44 states/eV per atom

Unit cell a=6.679 b=9.286 c=9.286 alpha=120.00 beta=90.00 gamma=90.00
Fractional positions:
Pm 0.600 0.684 0.080
Pm 0.600 0.920 0.604
Pm 0.600 0.396 0.316
Pm 0.400 0.316 0.920
Pm 0.400 0.080 0.396
Pm 0.400 0.604 0.684
Tm 0.897 0.980 0.316
Tm 0.897 0.684 0.665
Tm 0.897 0.335 0.020
Tm 0.103 0.020 0.684
Tm 0.103 0.316 0.335
Tm 0.103 0.665 0.980
Tm 0.825 0.333 0.667
Tm 0.175 0.667 0.333
Tl 0.500 0.000 0.000

=====

3.
The following is a DFT calculation (PBE) of a geometry-optimized TcHg2Os structure.

Computed properties:
Crystal system ... trigonal
Mass density ... 16.52 g cm⁻³
M_tot ... 0.000 μB per formula unit
Energy of formation ... 842 meV/atom
Fermi-level density of states ... 0.76 states/eV per atom

Unit cell a=9.563 b=9.563 c=9.563 alpha=17.53 beta=17.53 gamma=17.53
Fractional positions:
Hg 0.000 0.000 0.000
Hg 0.500 0.500 0.500
Os 0.250 0.250 0.250
Tc 0.750 0.750 0.750

=====

4.
The following is a DFT calculation (PBE) of a geometry-optimized Rb2Zr2Sb structure.

Computed properties:
Crystal system ... tetragonal
Mass density ... 5.21 g cm⁻³
M_tot ... 0.000 μB per formula unit
Fermi-level density of states ... 1.05 states/eV per atom
ΔE_f (raw) ... 1468 meV/atom

Unit cell a=8.435 b=8.435 c=4.259 alpha=90.00 beta=90.00 gamma=90.00
Fractional positions:
Sb 0.000 0.000 0.000
Sb 0.500 0.500 0.000
Rb 0.376 0.876 0.000
Rb 0.876 0.624 0.000
Rb 0.624 0.124 0.000
Rb 0.124 0.376 0.000
Zr 0.204 0.704 0.500
Zr 0.704 0.796 0.500
Zr 0.796 0.296 0.500
Zr 0.296 0.204 0.500

=====

5.
The following is a DFT calculation (PBE) of a geometry-optimized CuMoAu2 structure.

Computed properties:
Crystal system ... orthorhombic
Mass density ... 13.95 g cm⁻³
M_tot ... 0.108 μB per formula unit
Energy of formation ... 408 meV/atom
Fermi-level density of states ... 0.75 states/eV per atom

Unit cell a=2.758 b=4.893 c=4.883 alpha=90.00 beta=90.00 gamma=90.00
Fractional positions:
Au 0.000 0.000 0.000
Au 0.500 0.500 0.000
Cu 0.500 0.000 0.500
Mo 0.000 0.500 0.500

=====

6.
The following is a DFT calculation (PBE) of a geometry-optimized La2ReBiSe structure.

Computed properties:
Crystal system ... tetragonal
Mass density ... 6.70 g cm⁻³
M_tot ... 1.380 μB per formula unit
Fermi-level density of states ... 0.94 states/eV per atom
ΔE_f (raw) ... 668 meV/atom

Unit cell a=6.126 b=4.966 c=6.126 alpha=90.00 beta=90.00 gamma=90.00
Fractional positions:
Re 0.000 0.500 0.000
Bi 0.000 0.000 0.000
Se 0.500 0.500 0.500
La 0.000 0.000 0.500
La 0.500 0.000 0.000

=====

7.
The following is a DFT calculation (PBE) of a geometry-optimized PaZnNi2P2 structure.

Computed properties:
Crystal system ... trigonal
Mass density ... 8.91 g cm⁻³
M_tot ... 0.000 μB per formula unit
Energy of formation ... -698 meV/atom
Fermi-level density of states ... 0.52 states/eV per atom

Unit cell a=3.889 b=3.889 c=6.766 alpha=90.00 beta=90.00 gamma=120.00
Fractional positions:
Pa 0.000 0.000 0.000
Zn 0.000 0.000 0.500
Ni 0.667 0.333 0.685
Ni 0.333 0.667 0.315
P 0.667 0.333 0.257
P 0.333 0.667 0.743

=====

8.
The following is a DFT calculation (PBE) of a geometry-optimized NaGd2Pd structure.

Computed properties:
Crystal system ... tetragonal
Mass density ... 6.37 g cm⁻³
M_tot ... 14.424 μB per formula unit
Energy of formation ... -301 meV/atom
Fermi-level density of states ... 1.53 states/eV per atom

Unit cell a=3.528 b=3.528 c=9.300 alpha=90.00 beta=90.00 gamma=90.00
Fractional positions:
Na 0.500 0.500 0.500
Gd 0.000 0.000 0.818
Gd 0.000 0.000 0.182
Pd 0.500 0.500 0.000

=====

The following raw total energy values (in eV per atom) correspond, in order, to the records above: -3.57, -4.23, -4.71, -3.16, -4.96, -5.27, -6.22, -8.97.